(1)
An optimized crystal structure of KNiTe2. Source: the Alexandria database, functional PBE.

a b c (Å): 3.972 3.972 8.439
angles (deg): 76.39 76.39 60.00
Fractional coordinates of all 4 atoms:
K 0.501 0.501 0.497
Ni 0.667 0.667 0.000
Te 0.054 0.054 0.837
Te 0.278 0.278 0.166

## Properties
The volume comes out at 27.740 A^3/atom. Its calculated density is 5.28 Mg/m³. The crystal system is trigonal. The energy relative to the elements, uncorrected comes out at -0.382 eV per atom.



(2)
An optimized crystal structure of LaZn2Au. Source: the Alexandria database, functional PBE.

a b c (Å): 4.507 5.739 7.080
angles (deg): 90.00 90.00 113.12
Fractional coordinates of all 8 atoms:
La 0.750 0.499 0.500
La 0.585 0.171 0.000
Zn 0.035 0.070 0.686
Zn 0.035 0.070 0.314
Zn 0.885 0.770 0.000
Zn 0.459 0.919 0.500
Au 0.290 0.579 0.799
Au 0.290 0.579 0.201

## Properties
The volume comes out at 21.052 A^3/atom. The energy of formation from the pure elements is -0.498 eV/atom. Its calculated density is 9.20 Mg/m³. The crystal system is orthorhombic.



(3)
An optimized crystal structure of La2SiAg2. Source: the Alexandria database, functional PBE.

a b c (Å): 3.894 3.894 8.962
angles (deg): 77.45 77.45 90.00
Fractional coordinates of all 5 atoms:
Si 0.000 0.000 0.000
Ag 0.750 0.250 0.500
Ag 0.250 0.750 0.500
La 0.408 0.408 0.184
La 0.592 0.592 0.816

## Properties
The volume comes out at 25.867 A^3/atom. Its calculated density is 6.70 Mg/m³. The energy above the most stable polymorph in this dataset comes out at 0.008 eV per atom. The crystal system is tetragonal. The energy relative to the elements, uncorrected comes out at -0.254 eV per atom.



(4)
An optimized crystal structure of MnCoH. Source: the Alexandria database, functional PBE.

a b c (Å): 2.453 3.460 3.460
angles (deg): 120.00 90.00 90.00
Fractional coordinates of all 3 atoms:
H 0.321 0.333 0.667
Mn 0.559 0.667 0.333
Co 0.121 0.000 0.000

## Properties
The volume comes out at 8.475 A^3/atom. Its calculated density is 7.50 Mg/m³. The energy above the most stable polymorph in this dataset comes out at 0.414 eV per atom. The crystal system is trigonal.



(5)
An optimized crystal structure of Pa2Ni2PbS6. Source: the Alexandria database, functional PBE.

a b c (Å): 7.003 7.008 7.384
angles (deg): 120.52 91.60 59.87
Fractional coordinates of all 11 atoms:
Pa 0.832 0.337 0.829
Pa 0.168 0.663 0.171
Ni 0.194 0.773 0.840
Ni 0.806 0.227 0.160
Pb 0.500 0.000 0.500
S 0.410 0.810 0.060
S 0.945 0.459 0.206
S 0.219 0.826 0.576
S 0.055 0.541 0.794
S 0.781 0.174 0.424
S 0.590 0.190 0.940

## Properties
The volume comes out at 23.375 A^3/atom. Its calculated density is 6.32 Mg/m³. The crystal system is triclinic. The energy relative to the elements, uncorrected comes out at -1.057 eV per atom.



(6)
An optimized crystal structure of NdDy3Te4. Source: the Alexandria database, functional PBE.

a b c (Å): 4.323 7.645 7.645
angles (deg): 108.67 90.00 90.00
Fractional coordinates of all 8 atoms:
Nd 0.500 0.000 0.000
Dy 0.000 0.000 0.500
Dy 0.500 0.500 0.500
Dy 0.000 0.500 0.000
Te 0.000 0.258 0.258
Te 0.500 0.746 0.254
Te 0.000 0.742 0.742
Te 0.500 0.254 0.746

## Properties
The volume comes out at 29.916 A^3/atom. Its calculated density is 7.92 Mg/m³. The crystal system is orthorhombic. The energy relative to the elements, uncorrected comes out at -1.312 eV per atom.



(7)
An optimized crystal structure of InGe2BiI8. Source: the Alexandria database, functional PBE.

a b c (Å): 7.683 7.314 9.343
angles (deg): 87.16 86.82 87.98
Fractional coordinates of all 12 atoms:
In 0.000 0.000 0.500
Ge 0.474 0.466 0.746
Ge 0.526 0.534 0.254
Bi 0.000 0.000 0.000
I 0.176 0.745 0.232
I 0.670 0.755 0.014
I 0.829 0.256 0.230
I 0.824 0.255 0.768
I 0.330 0.245 0.986
I 0.171 0.744 0.770
I 0.649 0.718 0.475
I 0.351 0.282 0.525

## Properties
The volume comes out at 43.607 A^3/atom. Its calculated density is 4.71 Mg/m³. The crystal system is triclinic. The energy relative to the elements, uncorrected comes out at -0.325 eV per atom.



(8)
An optimized crystal structure of MnAuSe2. Source: the Alexandria database, functional PBE.

a b c (Å): 7.715 3.602 12.550
angles (deg): 90.00 90.00 90.00
Fractional coordinates of all 16 atoms:
Mn 0.023 0.250 0.581
Mn 0.477 0.750 0.081
Mn 0.977 0.750 0.419
Mn 0.523 0.250 0.919
Au 0.194 0.250 0.321
Au 0.306 0.750 0.821
Au 0.806 0.750 0.679
Au 0.694 0.250 0.179
Se 0.790 0.250 0.464
Se 0.710 0.750 0.964
Se 0.210 0.750 0.536
Se 0.290 0.250 0.036
Se 0.577 0.250 0.734
Se 0.923 0.750 0.234
Se 0.423 0.750 0.266
Se 0.077 0.250 0.766

## Properties
The volume comes out at 21.796 A^3/atom. Its calculated density is 7.81 Mg/m³. The crystal system is orthorhombic. The energy relative to the elements, uncorrected comes out at -0.140 eV per atom.



(9)
An optimized crystal structure of DyErPtPb. Source: the Alexandria database, functional PBE.

a b c (Å): 5.169 5.169 5.169
angles (deg): 60.00 60.00 60.00
Fractional coordinates of all 4 atoms:
Pb 0.250 0.250 0.250
Dy 0.000 0.000 0.000
Pt 0.750 0.750 0.750
Er 0.500 0.500 0.500

## Properties
The volume comes out at 24.409 A^3/atom. The energy of formation from the pure elements is -0.742 eV/atom. Its calculated density is 12.45 Mg/m³. The crystal system is cubic.



(10)
An optimized crystal structure of K2AgSbN. Source: the Alexandria database, functional PBE.

a b c (Å): 6.764 4.205 6.764
angles (deg): 90.00 90.00 90.00
Fractional coordinates of all 5 atoms:
Sb 0.000 0.000 0.000
K 0.000 0.000 0.500
K 0.500 0.000 0.000
Ag 0.500 0.500 0.500
N 0.000 0.500 0.000

## Properties
The volume comes out at 38.478 A^3/atom. Its calculated density is 2.78 Mg/m³. The crystal system is tetragonal. The energy relative to the elements, uncorrected comes out at 0.488 eV per atom.



(11)
An optimized crystal structure of AgSe2I. Source: the Alexandria database, functional PBE.

a b c (Å): 7.406 7.406 6.603
angles (deg): 55.89 55.89 90.00
Fractional coordinates of all 8 atoms:
I 0.000 0.000 0.000
I 0.750 0.250 0.500
Se 0.588 0.125 0.250
Se 0.162 0.625 0.250
Se 0.375 0.412 0.750
Se 0.875 0.838 0.750
Ag 0.500 0.500 0.000
Ag 0.250 0.750 0.500

## Properties
The volume comes out at 27.572 A^3/atom. Its calculated density is 5.91 Mg/m³. The energy above the most stable polymorph in this dataset comes out at 0.409 eV per atom. The crystal system is tetragonal. The energy relative to the elements, uncorrected comes out at 0.351 eV per atom.



(12)
An optimized crystal structure of CuAs2Se. Source: the Alexandria database, functional PBE.

a b c (Å): 8.109 8.109 3.879
angles (deg): 43.41 43.41 26.68
Fractional coordinates of all 4 atoms:
As 0.987 0.987 0.000
As 0.513 0.513 0.500
Cu 0.750 0.750 0.750
Se 0.250 0.250 0.250

## Properties
The volume comes out at 19.049 A^3/atom. Its calculated density is 6.37 Mg/m³. The crystal system is monoclinic. The energy relative to the elements, uncorrected comes out at 0.056 eV per atom.



(13)
An optimized crystal structure of TaNbPt. Source: the Alexandria database, functional PBE.

a b c (Å): 8.152 4.711 5.436
angles (deg): 90.02 90.00 90.00
Fractional coordinates of all 12 atoms:
Ta 0.417 0.250 0.748
Ta 0.917 0.750 0.752
Ta 0.583 0.750 0.252
Ta 0.083 0.250 0.248
Nb 0.251 0.750 0.000
Nb 0.249 0.750 0.500
Nb 0.749 0.250 0.000
Nb 0.751 0.250 0.500
Pt 0.583 0.750 0.751
Pt 0.917 0.750 0.251
Pt 0.417 0.250 0.249
Pt 0.083 0.250 0.749

## Properties
The volume comes out at 17.397 A^3/atom. The energy of formation from the pure elements is -0.380 eV/atom. Its calculated density is 14.92 Mg/m³. The energy above the most stable polymorph in this dataset comes out at 0.054 eV per atom. The crystal system is orthorhombic.



(14)
An optimized crystal structure of Mg2CrCu. Source: the Alexandria database, functional PBE.

a b c (Å): 4.568 4.568 4.568
angles (deg): 60.00 60.00 60.00
Fractional coordinates of all 4 atoms:
Cr 0.500 0.500 0.500
Cu 0.750 0.750 0.750
Mg 0.000 0.000 0.000
Mg 0.250 0.250 0.250

## Properties
The volume comes out at 16.852 A^3/atom. The energy of formation from the pure elements is 0.257 eV/atom. Its calculated density is 4.04 Mg/m³. The energy above the most stable polymorph in this dataset comes out at 0.035 eV per atom. The crystal system is cubic.



(15)
An optimized crystal structure of Mn3Zn3N. Source: the Alexandria database, functional PBE.

a b c (Å): 7.785 7.785 7.785
angles (deg): 60.00 60.00 60.00
Fractional coordinates of all 28 atoms:
Mn 0.070 0.430 0.070
Mn 0.180 0.180 0.820
Mn 0.820 0.820 0.180
Mn 0.820 0.180 0.820
Mn 0.820 0.180 0.180
Mn 0.180 0.820 0.820
Mn 0.430 0.070 0.070
Mn 0.070 0.070 0.430
Mn 0.430 0.430 0.070
Mn 0.070 0.430 0.430
Mn 0.180 0.820 0.180
Mn 0.430 0.070 0.430
Zn 0.839 0.839 0.839
Zn 0.411 0.411 0.766
Zn 0.411 0.766 0.411
Zn 0.766 0.411 0.411
Zn 0.839 0.484 0.839
Zn 0.484 0.839 0.839
Zn 0.839 0.839 0.484
Zn 0.411 0.411 0.411
Zn 0.625 0.625 0.625
Zn 0.625 0.625 0.125
Zn 0.625 0.125 0.625
Zn 0.125 0.625 0.625
N 0.125 0.125 0.125
N 0.125 0.125 0.625
N 0.125 0.625 0.125
N 0.625 0.125 0.125

## Properties
The volume comes out at 11.917 A^3/atom. Its calculated density is 7.47 Mg/m³. The crystal system is cubic. The energy relative to the elements, uncorrected comes out at -0.066 eV per atom.



(16)
An optimized crystal structure of TaVReIr. Source: the Alexandria database, functional PBE.

a b c (Å): 4.425 4.425 4.425
angles (deg): 60.00 60.00 60.00
Fractional coordinates of all 4 atoms:
Re 0.500 0.500 0.500
V 0.750 0.750 0.750
Ir 0.000 0.000 0.000
Ta 0.250 0.250 0.250

## Properties
The volume comes out at 15.317 A^3/atom. The energy of formation from the pure elements is -0.290 eV/atom. Its calculated density is 16.54 Mg/m³. The crystal system is cubic.



(17)
An optimized crystal structure of DyEr2AgHg4. Source: the Alexandria database, functional PBE.

a b c (Å): 5.090 5.090 9.050
angles (deg): 73.67 73.67 60.00
Fractional coordinates of all 8 atoms:
Dy 0.000 0.000 0.000
Er 0.758 0.758 0.727
Er 0.242 0.242 0.273
Ag 0.500 0.500 0.500
Hg 0.374 0.374 0.879
Hg 0.876 0.876 0.371
Hg 0.124 0.124 0.629
Hg 0.626 0.626 0.121

## Properties
The volume comes out at 24.003 A^3/atom. The energy of formation from the pure elements is -0.386 eV/atom. Its calculated density is 12.17 Mg/m³. The crystal system is trigonal.



(18)
An optimized crystal structure of OsRhW2. Source: the Alexandria database, functional PBE.

a b c (Å): 2.795 3.871 5.659
angles (deg): 90.00 90.00 90.00
Fractional coordinates of all 4 atoms:
Os 0.000 0.000 0.491
Rh 0.500 0.500 0.756
W 0.000 0.000 0.986
W 0.500 0.500 0.268

## Properties
The volume comes out at 15.307 A^3/atom. The energy of formation from the pure elements is 0.084 eV/atom. Its calculated density is 17.92 Mg/m³. The energy above the most stable polymorph in this dataset comes out at 0.156 eV per atom. The crystal system is orthorhombic.



(19)
An optimized crystal structure of CrP2BrCl. Source: the Alexandria database, functional PBE.

a b c (Å): 4.513 4.513 4.669
angles (deg): 90.00 90.00 90.00
Fractional coordinates of all 5 atoms:
Cr 0.000 0.000 0.000
P 0.000 0.500 0.000
P 0.500 0.000 0.000
Br 0.500 0.500 0.500
Cl 0.000 0.000 0.500

## Properties
The volume comes out at 19.017 A^3/atom. Its calculated density is 4.00 Mg/m³. The energy above the most stable polymorph in this dataset comes out at 0.000 eV per atom. The crystal system is tetragonal. The energy relative to the elements, uncorrected comes out at 0.247 eV per atom.



(20)
An optimized crystal structure of BaIO3. Source: the Alexandria database, functional PBE.

a b c (Å): 4.356 4.356 4.356
angles (deg): 90.00 90.00 90.00
Fractional coordinates of all 5 atoms:
I 0.000 0.000 0.000
Ba 0.500 0.500 0.500
O 0.000 0.500 0.000
O 0.000 0.000 0.500
O 0.500 0.000 0.000

## Properties
The volume comes out at 16.530 A^3/atom. Its calculated density is 6.27 Mg/m³. The crystal system is cubic. The energy relative to the elements, uncorrected comes out at -1.185 eV per atom.



(21)
An optimized crystal structure of TcSn2GeI. Source: the Alexandria database, functional PBE.

a b c (Å): 5.283 5.283 4.845
angles (deg): 90.00 90.00 90.00
Fractional coordinates of all 5 atoms:
I 0.500 0.500 0.500
Ge 0.000 0.000 0.500
Sn 0.000 0.500 0.000
Sn 0.500 0.000 0.000
Tc 0.000 0.000 0.000

## Properties
The volume comes out at 27.050 A^3/atom. Its calculated density is 6.57 Mg/m³. The energy above the most stable polymorph in this dataset comes out at 0.000 eV per atom. The crystal system is tetragonal. The energy relative to the elements, uncorrected comes out at -0.077 eV per atom.



(22)
An optimized crystal structure of Pr6MgHg5. Source: the Alexandria database, functional PBE.

a b c (Å): 5.452 7.751 8.668
angles (deg): 90.00 108.41 90.00
Fractional coordinates of all 12 atoms:
Pr 0.832 0.751 0.661
Pr 0.832 0.249 0.661
Pr 0.500 0.256 0.000
Pr 0.500 0.744 0.000
Pr 0.168 0.751 0.339
Pr 0.168 0.249 0.339
Mg 0.000 0.000 0.000
Hg 0.663 0.500 0.330
Hg 0.345 0.000 0.686
Hg 0.000 0.500 0.000
Hg 0.655 0.000 0.314
Hg 0.337 0.500 0.670

## Properties
The volume comes out at 28.962 A^3/atom. The energy of formation from the pure elements is -0.409 eV/atom. Its calculated density is 8.95 Mg/m³. The crystal system is monoclinic.



(23)
An optimized crystal structure of Ga2SbAu8. Source: the Alexandria database, functional PBE.

a b c (Å): 3.845 6.739 8.560
angles (deg): 104.97 102.98 90.00
Fractional coordinates of all 11 atoms:
Sb 0.500 0.000 0.000
Au 0.588 0.439 0.175
Au 0.324 0.059 0.647
Au 0.174 0.264 0.349
Au 0.050 0.724 0.099
Au 0.826 0.736 0.651
Au 0.676 0.941 0.353
Au 0.412 0.561 0.825
Au 0.950 0.276 0.901
Ga 0.206 0.671 0.412
Ga 0.794 0.329 0.588

## Properties
The volume comes out at 18.944 A^3/atom. Its calculated density is 14.64 Mg/m³. The crystal system is monoclinic. The energy relative to the elements, uncorrected comes out at -0.052 eV per atom.



(24)
An optimized crystal structure of YZr2Re. Source: the Alexandria database, functional PBE.

a b c (Å): 4.558 3.220 6.151
angles (deg): 76.82 90.00 90.00
Fractional coordinates of all 4 atoms:
Re 0.500 0.250 0.250
Y 0.500 0.750 0.750
Zr 0.000 0.059 0.036
Zr 0.000 0.441 0.464

## Properties
The volume comes out at 21.979 A^3/atom. The energy of formation from the pure elements is 0.097 eV/atom. Its calculated density is 8.64 Mg/m³. The energy above the most stable polymorph in this dataset comes out at 0.125 eV per atom. The crystal system is monoclinic.



(25)
An optimized crystal structure of CaZr2P. Source: the Alexandria database, functional PBE.

a b c (Å): 8.141 8.141 6.439
angles (deg): 50.79 50.79 90.00
Fractional coordinates of all 8 atoms:
P 0.500 0.500 0.000
P 0.250 0.750 0.500
Ca 0.000 0.000 0.000
Ca 0.750 0.250 0.500
Zr 0.553 0.125 0.250
Zr 0.197 0.625 0.250
Zr 0.375 0.447 0.750
Zr 0.875 0.803 0.750

## Properties
The volume comes out at 23.892 A^3/atom. The energy of formation from the pure elements is -0.217 eV/atom. Its calculated density is 4.40 Mg/m³. The crystal system is tetragonal.